Entry from the Alexandria database: a PBEsol-optimized structure of Y2InSnTe (SCAN).

The structure in extended XYZ format:
```
5
Lattice="-1.318 5.247 1.333 0.922 -1.135 5.377 5.403 1.511 -0.607" Properties=species:S:1:pos:R:3 pbc="T T T"
Te 0.000 0.000 0.000
In 2.503 2.812 3.051
Sn 2.701 0.755 -0.304
Y 0.461 -0.567 2.688
Y -0.659 2.624 0.667
```

**Formation energy without anion corrections**: 0.03 eV/atom


Entry from the Alexandria database: a PBEsol-optimized structure of ZrTaMn (SCAN).

The structure in extended XYZ format:
```
3
Lattice="3.113 0.000 0.000 0.000 3.113 0.000 -1.556 -1.556 5.036" Properties=species:S:1:pos:R:3 pbc="T T T"
Mn 0.000 0.000 0.107
Zr 0.000 0.000 3.457
Ta 1.556 1.556 1.473
```

**Offset from the most stable computed form**: 0 meV per atom
**Energy of formation**: -19 kJ/mol of formula units


Entry from the Alexandria database: a PBEsol-optimized structure of Zn2HgW (SCAN).

The structure in extended XYZ format:
```
4
Lattice="2.764 0.000 0.000 0.000 2.764 0.000 0.000 0.000 8.352" Properties=species:S:1:pos:R:3 pbc="T T T"
Zn 0.000 0.000 0.043
Zn 1.382 1.382 1.901
W 1.382 1.382 6.432
Hg 0.000 0.000 4.153
```

**Energy of formation**: 171 kJ/mol of formula units


Entry from the Alexandria database: a PBEsol-optimized structure of LiCd2Pb (SCAN).

The structure in extended XYZ format:
```
4
Lattice="-4.675 0.874 1.547 -3.759 0.044 -3.299 -3.368 -3.697 -0.003" Properties=species:S:1:pos:R:3 pbc="T T T"
Cd -8.851 -2.085 -1.316
Cd 0.000 0.000 0.000
Pb -2.950 -0.695 -0.439
Li -5.901 -1.390 -0.877
```

**Energy of formation**: -48 kJ/mol of formula units


Entry from the Alexandria database: a PBEsol-optimized structure of LiZrAg (SCAN).

The structure in extended XYZ format:
```
3
Lattice="4.278 0.000 0.000 2.139 3.705 0.000 2.139 1.235 3.493" Properties=species:S:1:pos:R:3 pbc="T T T"
Li 6.417 3.705 2.620
Zr 0.000 0.000 0.000
Ag 4.278 2.470 1.746
```

**Offset from the most stable computed form**: 453 meV per atom
**Energy of formation**: 150 kJ/mol of formula units


Entry from the Alexandria database: a PBEsol-optimized structure of ZrMn3 (SCAN).

The structure in extended XYZ format:
```
4
Lattice="-2.898 0.140 0.489 0.435 -2.622 3.328 1.815 4.530 0.606" Properties=species:S:1:pos:R:3 pbc="T T T"
Zr 0.218 -1.311 1.664
Mn -0.919 0.521 3.256
Mn -1.449 0.070 0.245
Mn 0.271 1.526 1.167
```

**Energy of formation**: 51 kJ/mol of formula units


Entry from the Alexandria database: a PBEsol-optimized structure of IrRuRh2 (SCAN).

The structure in extended XYZ format:
```
4
Lattice="-0.759 -2.319 -1.089 4.098 -1.857 1.102 -1.920 0.182 4.224" Properties=species:S:1:pos:R:3 pbc="T T T"
Ir 2.049 -0.928 0.551
Rh 1.550 -3.046 2.127
Rh -0.131 -0.948 2.110
Ru -0.380 -1.160 -0.545
```

**Offset from the most stable computed form**: 18 meV per atom
**Energy of formation**: -3 kJ/mol of formula units


Entry from the Alexandria database: a PBEsol-optimized structure of BeRe2 (SCAN).

The structure in extended XYZ format:
```
6
Lattice="-0.980 2.939 3.354 0.736 -1.186 4.362 3.188 2.946 1.458" Properties=species:S:1:pos:R:3 pbc="T T T"
Re 1.871 1.486 5.461
Be -0.245 0.735 0.839
Re 1.073 3.214 3.713
Be -0.735 2.204 2.516
Re 0.764 0.400 2.981
Re 2.179 4.300 6.193
```

**Offset from the most stable computed form**: 0 meV per atom
**Energy of formation**: -93 kJ/mol of formula units


Entry from the Alexandria database: a PBEsol-optimized structure of SrCa2La (SCAN).

The structure in extended XYZ format:
```
4
Lattice="-2.576 2.972 -1.622 1.554 -1.774 -5.718 -4.671 -4.055 -0.011" Properties=species:S:1:pos:R:3 pbc="T T T"
Sr -1.288 1.486 -0.811
Ca 0.777 -0.887 -2.859
La -2.847 -1.429 -3.675
Ca -2.335 -2.028 -0.005
```

**Offset from the most stable computed form**: 22 meV per atom
**Energy of formation**: 40 kJ/mol of formula units


Entry from the Alexandria database: a PBEsol-optimized structure of Zr2TeI (SCAN).

The structure in extended XYZ format:
```
4
Lattice="-4.139 1.590 -2.296 -4.418 -2.036 1.124 -3.397 2.645 2.528" Properties=species:S:1:pos:R:3 pbc="T T T"
Zr -8.965 1.649 1.017
I -5.977 1.099 0.678
Zr -2.988 0.550 0.339
Te 0.000 0.000 0.000
```

**Formation energy without anion corrections**: -0.47 eV/atom


Entry from the Alexandria database: a PBEsol-optimized structure of Tb3Sb5O12 (SCAN).

The structure in extended XYZ format:
```
40
Lattice="-5.675 -7.332 0.579 4.208 0.013 -8.283 6.395 -0.495 6.721" Properties=species:S:1:pos:R:3 pbc="T T T"
O 4.395 -0.242 0.916
Sb -1.059 -5.279 -5.556
O -1.966 -5.401 0.104
Tb 3.010 -4.034 3.259
Tb -0.554 -5.617 -2.027
Sb 2.028 0.006 -3.992
O 3.712 -3.939 -2.910
O 7.298 -0.389 1.045
O 6.354 -1.838 -0.989
Sb -0.409 -2.040 -2.148
O 0.265 -5.287 -4.087
Sb 0.519 -5.646 5.265
O -1.195 -6.111 3.967
O 3.503 -2.259 -0.587
Sb 0.201 -2.182 2.035
O 0.398 -3.814 -6.309
Sb 7.647 -0.348 -1.127
Sb -2.735 -3.534 0.279
Sb 3.082 -0.239 3.239
Tb 4.934 -2.071 -2.707
Sb 2.553 -4.049 -0.509
O 1.514 -2.383 3.499
O 2.144 -4.220 5.666
Tb -0.007 -5.744 1.724
O -2.336 -5.846 -3.858
O 3.189 -1.571 -4.518
Tb 1.917 -3.780 -4.243
Sb 2.956 -0.134 -0.435
O 3.949 -0.138 -2.145
O 1.368 -5.543 3.482
Tb 5.481 -2.198 1.044
O 1.067 -3.639 -1.827
O 4.330 -1.836 3.307
O 6.693 -0.248 -3.106
O 1.508 -3.742 1.201
O -0.948 -3.778 2.246
O 4.349 -4.087 1.463
O 0.831 -6.080 -0.327
O -1.586 -3.630 -2.127
O 0.431 -2.131 -3.936
```

**Formation energy without anion corrections**: -2.42 eV/atom


Entry from the Alexandria database: a PBEsol-optimized structure of Ca2TlOsCl (SCAN).

The structure in extended XYZ format:
```
5
Lattice="-2.911 -3.750 -2.332 3.705 -4.058 1.902 -3.138 -0.586 4.861" Properties=species:S:1:pos:R:3 pbc="T T T"
Ca 1.852 -2.029 0.951
Os -1.172 -4.198 2.216
Tl 0.000 0.000 0.000
Ca -1.569 -0.293 2.430
Cl -1.456 -1.875 -1.166
```

**Formation energy without anion corrections**: 1.00 eV/atom


Number 1: DOS(E_F) 2.8 states/eV per cell. Number 2: DOS(E_F) 2.3 states/eV per cell. Number 3: DOS(E_F) 1.6 states/eV per cell. Number 4: DOS(E_F) 1.6 states/eV per cell. Number 5: DOS(E_F) 4.1 states/eV per cell. Number 6: DOS(E_F) 3.8 states/eV per cell. Number 7: DOS(E_F) 3.9 states/eV per cell. Number 8: DOS(E_F) 2.7 states/eV per cell. Number 9: DOS(E_F) 5.0 states/eV per cell. Number 10: DOS(E_F) 2.9 states/eV per cell. Number 11: DOS(E_F) 0.0 states/eV per cell. Number 12: DOS(E_F) 5.3 states/eV per cell.